{"formula": "TaTlP2O8", "functional": "GGA-PBE", "state": "relaxed", "space_group": "P-3m1 (164)", "dft_energy_ev_per_atom": -7.69, "lattice": [[5.249, 0.000, 0.000], [-2.625, 4.546, 0.000], [0.000, 0.000, 8.569]], "species": ["Ta", "Tl", "P", "P", "O", "O", "O", "O", "O", "O", "O", "O"], "fractional_positions": [[0.000, 0.000, 0.000], [0.000, 0.000, 0.500], [0.333, 0.667, 0.207], [0.667, 0.333, 0.793], [0.175, 0.350, 0.135], [0.175, 0.825, 0.135], [0.333, 0.667, 0.381], [0.350, 0.175, 0.865], [0.650, 0.825, 0.135], [0.667, 0.333, 0.619], [0.825, 0.175, 0.865], [0.825, 0.650, 0.865]]}


{"formula": "CrSb2Au", "functional": "GGA-PBE", "state": "relaxed", "space_group": "Imm2 (44)", "dft_energy_ev_per_atom": -5.09, "lattice": [[-1.617, 2.173, 6.292], [1.617, -2.173, 6.292], [1.617, 2.173, -6.292]], "species": ["Cr", "Sb", "Sb", "Au"], "fractional_positions": [[0.000, 0.000, 0.000], [0.187, 0.687, 0.500], [0.465, 0.465, 0.000], [0.803, 0.303, 0.500]]}


{"formula": "RuPb2", "functional": "GGA-PBE", "state": "relaxed", "space_group": "P6_3/mmc (194)", "dft_energy_ev_per_atom": -4.92, "lattice": [[5.049, 0.000, 0.000], [-2.524, 4.373, 0.000], [0.000, 0.000, 6.221]], "species": ["Ru", "Ru", "Pb", "Pb", "Pb", "Pb"], "fractional_positions": [[0.333, 0.667, 0.250], [0.667, 0.333, 0.750], [0.000, 0.000, 0.000], [0.000, 0.000, 0.500], [0.333, 0.667, 0.750], [0.667, 0.333, 0.250]]}